Entry 1:
Material: Cs2ZrCuO4
Method: DFT, PBE-GGA
State: relaxed

```
Cs2ZrCuO4
1.0
0.000 6.485 11.390
2.671 0.000 11.390
2.671 6.485 0.000
Cs Zr Cu O
4 2 2 8
direct
0.054 0.054 0.696
0.304 0.304 0.946
0.696 0.696 0.054
0.946 0.946 0.304
0.125 0.125 0.125
0.875 0.875 0.875
0.375 0.375 0.375
0.625 0.625 0.625
0.009 0.323 0.421
0.254 0.579 0.677
0.323 0.009 0.746
0.421 0.746 0.009
0.579 0.254 0.991
0.677 0.991 0.254
0.746 0.421 0.323
0.991 0.677 0.579
```

Values from the calculation:
ρ in g/cm³: 4.08
Raw total energy in eV per cell: -95.9
DOS at the Fermi energy in states/eV/f.u.: 2.729
Symmetry: Fddd, No. 70
Formation energy from raw total energies in eV per atom: -1.718
Size of the total moment in μB/atom: 0.127


Entry 2:
Material: Rb2SrHfBr6
Method: DFT, PBE-GGA
State: relaxed

```
Rb2SrHfBr6
1.0
0.000 5.705 5.705
5.705 0.000 5.705
5.705 5.705 0.000
Rb Sr Hf Br
2 1 1 6
direct
0.250 0.250 0.250
0.750 0.750 0.750
0.000 0.000 0.000
0.500 0.500 0.500
0.262 0.262 0.738
0.262 0.738 0.262
0.262 0.738 0.738
0.738 0.262 0.262
0.738 0.262 0.738
0.738 0.738 0.262
```

Values from the calculation:
ρ in g/cm³: 4.10
Raw total energy in eV per cell: -38.3
DOS at the Fermi energy in states/eV/f.u.: 7.615
Symmetry: Fm-3m, No. 225
Formation energy from raw total energies in eV per atom: -1.466
Size of the total moment in μB/atom: 0.200


Entry 3:
Material: KSeIBr2
Method: DFT, PBE-GGA
State: relaxed

```
KSeIBr2
1.0
6.144 0.000 0.000
0.000 6.144 0.000
0.000 0.000 6.463
K Se I Br
1 1 1 2
direct
0.000 0.000 0.000
0.000 0.000 0.500
0.500 0.500 0.500
0.000 0.500 0.000
0.500 0.000 0.000
```

Values from the calculation:
ρ in g/cm³: 2.76
Raw total energy in eV per cell: -8.5
Energy above the lowest structure with this stoichiometry in meV per atom: 805.7
DOS at the Fermi energy in states/eV/f.u.: 8.455
Symmetry: P4/mmm, No. 123
Formation energy from raw total energies in eV per atom: 0.201
Size of the total moment in μB/atom: 0.804


Q: Which of these has the highest DOS at the Fermi energy?
A: KSeIBr2